A plane-wave DFT calculation with PBE was carried out for a relaxed SmNpSe3 crystal.

abc: 4.1246 7.7464 15.9404
angles: 90.00 90.00 90.00
Fractional coordinates of all 20 atoms:
Sm 0.2500 0.7628 0.5424
Se 0.2500 0.3763 0.5704
Np 0.7500 0.8636 0.7908
Sm 0.7500 0.7372 0.0424
Np 0.2500 0.1364 0.2092
Sm 0.7500 0.2372 0.4576
Np 0.2500 0.6364 0.2908
Np 0.7500 0.3636 0.7092
Se 0.7500 0.3533 0.2782
Se 0.2500 0.5055 0.1098
Se 0.2500 0.6467 0.7218
Se 0.7500 0.8533 0.2218
Se 0.2500 0.0055 0.3902
Se 0.7500 0.9945 0.6098
Se 0.2500 0.1467 0.7782
Se 0.7500 0.4945 0.8902
Se 0.2500 0.8763 0.9296
Se 0.7500 0.6237 0.4296
Se 0.7500 0.1237 0.0704
Sm 0.2500 0.2628 0.9576

Values from the calculation:
The final energy comes out at -7.1470 eV/atom. Its space group is No. 62. The energy above the most stable polymorph in this dataset is 0.000 eV per atom. As for the uncorrected formation energy: -147.07 kJ/mol of atoms.

=====

A plane-wave DFT calculation with PBE was carried out for a relaxed ZnGeRuO6 crystal.

abc: 5.0405 5.0405 8.9064
angles: 90.00 90.00 120.00
Fractional coordinates of all 18 atoms:
Ge 0.6667 0.3333 0.2500
Ru 0.3333 0.6667 0.2500
O 0.9966 0.6426 0.3661
O 0.0034 0.3574 0.6339
O 0.3539 0.3574 0.8661
Ru 0.6667 0.3333 0.7500
O 0.0034 0.6461 0.8661
O 0.6461 0.0034 0.3661
O 0.9966 0.3539 0.1339
O 0.3539 0.9966 0.6339
Zn 0.0000 0.0000 0.0000
O 0.6461 0.6426 0.1339
Ge 0.3333 0.6667 0.7500
O 0.3574 0.0034 0.1339
O 0.6426 0.9966 0.8661
Zn 0.0000 0.0000 0.5000
O 0.6426 0.6461 0.6339
O 0.3574 0.3539 0.3661

Values from the calculation:
The final energy comes out at -6.0916 eV/atom. Its space group is No. 163. As for the uncorrected formation energy: -106.22 kJ/mol of atoms.

=====

A plane-wave DFT calculation with PBE was carried out for a relaxed Ca2Zn2InCu5 crystal.

abc: 3.8212 9.6190 9.6190
angles: 90.00 90.00 90.00
Fractional coordinates of all 20 atoms:
Cu 0.5000 0.0573 0.7863
Cu 0.5000 0.4427 0.2863
Cu 0.5000 0.2863 0.5573
Cu 0.5000 0.7863 0.9427
In 0.0000 0.0000 0.0000
Cu 0.5000 0.0000 0.5000
Cu 0.5000 0.5573 0.7137
Ca 0.0000 0.1824 0.3176
Ca 0.0000 0.3176 0.8176
In 0.0000 0.5000 0.5000
Zn 0.0000 0.3872 0.1128
Cu 0.5000 0.5000 0.0000
Cu 0.5000 0.7137 0.4427
Zn 0.0000 0.1128 0.6128
Ca 0.0000 0.8176 0.6824
Zn 0.0000 0.8872 0.3872
Ca 0.0000 0.6824 0.1824
Zn 0.0000 0.6128 0.8872
Cu 0.5000 0.9427 0.2137
Cu 0.5000 0.2137 0.0573

Values from the calculation:
The final energy comes out at -3.0489 eV/atom. Its space group is No. 127. As for the formation energy: -69 kJ/mol of formula units.

=====

A plane-wave DFT calculation with PBE was carried out for a relaxed Hf2Cu2Pd7 crystal.

abc: 4.4505 6.9683 6.9683
angles: 61.73 71.38 71.38
Fractional coordinates of all 11 atoms:
Pd 0.5000 0.9582 0.0418
Cu 0.5000 0.3251 0.6749
Pd 0.1337 0.1869 0.5458
Pd 0.8663 0.4542 0.8131
Hf 0.2834 0.3344 0.0989
Pd 0.1405 0.7737 0.9452
Cu 0.0000 0.6210 0.3790
Pd 0.6370 0.4853 0.2407
Hf 0.7166 0.9011 0.6656
Pd 0.3630 0.7593 0.5147
Pd 0.8595 0.0548 0.2263

Values from the calculation:
The final energy comes out at -6.3354 eV/atom. Its space group is No. 44. As for the formation energy: -506 kJ/mol of formula units.

=====

A plane-wave DFT calculation with PBE was carried out for a relaxed ZrSn3Os crystal.

abc: 5.1192 5.1192 5.1192
angles: 90.00 90.00 90.00
Fractional coordinates of all 5 atoms:
Sn 0.0000 0.5000 0.0000
Sn 0.5000 0.0000 0.0000
Sn 0.0000 0.0000 0.5000
Os 0.0000 0.0000 0.0000
Zr 0.5000 0.5000 0.5000

Values from the calculation:
The final energy comes out at -5.6529 eV/atom. Its space group is No. 221. As for the formation energy: 340 kJ/mol of formula units. The energy above the most stable polymorph in this dataset is 0.000 eV per atom.

=====

A plane-wave DFT calculation with PBE was carried out for a relaxed In12Bi3Au5 crystal.

abc: 14.8911 14.8911 14.8911
angles: 109.47 109.47 109.47
Fractional coordinates of all 80 atoms:
In 0.5811 0.6222 0.4095
In 0.0905 0.9189 0.3778
Bi 0.8750 0.1250 0.2500
In 0.2127 0.5410 0.6222
In 0.8778 0.2873 0.4590
In 0.1717 0.0905 0.7127
In 0.5811 0.9590 0.6717
Au 0.5000 0.0000 0.5000
Au 0.3750 0.1250 0.7500
Au 0.6250 0.8750 0.2500
In 0.9095 0.8283 0.7873
In 0.0411 0.4189 0.8283
Au 0.1250 0.7500 0.3750
In 0.5410 0.3283 0.9189
In 0.3778 0.9590 0.7873
In 0.9590 0.5811 0.1717
In 0.0411 0.6222 0.7127
Bi 0.3750 0.7500 0.6250
In 0.4095 0.1222 0.5811
In 0.6222 0.5811 0.9095
In 0.1222 0.7127 0.5410
In 0.0811 0.9095 0.1222
In 0.2873 0.4095 0.8283
In 0.4590 0.6717 0.0811
Au 0.0000 0.5000 0.5000
In 0.7127 0.1222 0.0411
In 0.2873 0.8778 0.9590
In 0.0811 0.1717 0.4590
Au 0.1250 0.3750 0.2500
In 0.2127 0.6717 0.0905
In 0.4189 0.0411 0.3283
In 0.3283 0.7873 0.4095
Bi 0.1250 0.2500 0.8750
In 0.7873 0.4590 0.3778
Au 0.7500 0.1250 0.8750
In 0.3283 0.5410 0.4189
In 0.8778 0.5905 0.9189
Au 0.2500 0.8750 0.1250
Bi 0.6250 0.2500 0.3750
Bi 0.2500 0.1250 0.3750
In 0.8283 0.9189 0.0411
Au 0.0000 0.0000 0.0000
In 0.4095 0.2873 0.3283
In 0.5410 0.2127 0.1222
Au 0.6250 0.7500 0.8750
In 0.5905 0.7127 0.6717
Bi 0.2500 0.6250 0.8750
Au 0.5000 0.5000 0.5000
Bi 0.7500 0.8750 0.6250
In 0.4590 0.7873 0.8778
In 0.1717 0.0811 0.9590
In 0.5905 0.8778 0.4189
Au 0.0000 0.0000 0.5000
Au 0.3750 0.2500 0.1250
In 0.0905 0.1717 0.2127
In 0.7127 0.5905 0.1717
Au 0.5000 0.0000 0.0000
Au 0.5000 0.5000 0.0000
In 0.9189 0.8283 0.5410
Au 0.8750 0.6250 0.7500
In 0.7873 0.3283 0.9095
Bi 0.8750 0.7500 0.1250
In 0.6717 0.4590 0.5811
In 0.6222 0.0411 0.2127
In 0.8283 0.9095 0.2873
Au 0.8750 0.2500 0.6250
Au 0.0000 0.5000 0.0000
In 0.9590 0.3778 0.2873
Bi 0.1250 0.8750 0.7500
In 0.4189 0.3778 0.5905
Au 0.2500 0.3750 0.6250
Bi 0.6250 0.3750 0.7500
In 0.9189 0.0905 0.8778
In 0.3778 0.4189 0.0905
Bi 0.3750 0.6250 0.2500
In 0.1222 0.4095 0.0811
Bi 0.7500 0.3750 0.1250
In 0.9095 0.0811 0.6222
In 0.6717 0.2127 0.5905
Au 0.7500 0.6250 0.3750

Values from the calculation:
The final energy comes out at -3.0517 eV/atom. Its space group is No. 230. As for the formation energy: -14 kJ/mol of formula units.

=====

A plane-wave DFT calculation with PBE was carried out for a relaxed NdPu3Tc2 crystal.

abc: 6.1138 6.7645 6.7645
angles: 90.37 90.05 90.05
Fractional coordinates of all 12 atoms:
Pu 0.2500 0.5715 0.9065
Tc 0.0000 0.7853 0.2147
Pu 0.2501 0.0708 0.0708
Nd 0.7501 0.5862 0.5862
Pu 0.7500 0.0935 0.4285
Pu 0.2500 0.9065 0.5715
Tc 0.0000 0.2147 0.7853
Tc 0.5000 0.2147 0.7853
Pu 0.7499 0.9292 0.9292
Nd 0.2499 0.4138 0.4138
Pu 0.7500 0.4285 0.0935
Tc 0.5000 0.7853 0.2147

Values from the calculation:
The final energy comes out at -11.3239 eV/atom. Its space group is No. 12. As for the formation energy: 53 kJ/mol of formula units.

=====

A plane-wave DFT calculation with PBE was carried out for a relaxed YBeRe2 crystal.

abc: 2.8039 2.8039 8.2536
angles: 90.00 90.00 106.36
Fractional coordinates of all 4 atoms:
Re 0.0000 0.0000 0.9482
Re 0.0000 0.0000 0.5518
Y 0.5000 0.5000 0.2500
Be 0.5000 0.5000 0.7500

Values from the calculation:
The final energy comes out at -8.3752 eV/atom. Its space group is No. 65. As for the formation energy: 153 kJ/mol of formula units.

=====

A plane-wave DFT calculation with PBE was carried out for a relaxed TiAg3Se crystal.

abc: 4.9905 4.9905 4.9905
angles: 90.00 90.00 90.00
Fractional coordinates of all 5 atoms:
Ag 0.0000 0.0000 0.5000
Se 0.0000 0.0000 0.0000
Ag 0.5000 0.0000 0.0000
Ag 0.0000 0.5000 0.0000
Ti 0.5000 0.5000 0.5000

Values from the calculation:
The final energy comes out at -3.1957 eV/atom. Its space group is No. 221. The energy above the most stable polymorph in this dataset is 0.000 eV per atom. As for the uncorrected formation energy: 76.31 kJ/mol of atoms.

=====

A plane-wave DFT calculation with PBE was carried out for a relaxed FePC crystal.

abc: 2.8565 3.4778 6.8059
angles: 90.00 90.00 90.00
Fractional coordinates of all 6 atoms:
P 0.0000 0.5000 0.9715
P 0.0000 0.0000 0.4715
C 0.5000 0.0000 0.3140
Fe 0.5000 0.5000 0.5369
Fe 0.5000 0.0000 0.0369
C 0.5000 0.5000 0.8140

Values from the calculation:
The final energy comes out at -7.2417 eV/atom. Its space group is No. 38. As for the formation energy: 132 kJ/mol of formula units. The energy above the most stable polymorph in this dataset is 0.325 eV per atom.

=====

A plane-wave DFT calculation with PBE was carried out for a relaxed Tl3Sb2H2 crystal.

abc: 6.9934 5.5648 10.1865
angles: 34.76 111.18 89.97
Fractional coordinates of all 7 atoms:
Sb 0.3284 0.3937 0.0711
Tl 0.2652 0.5478 0.6342
H 0.3859 0.1701 0.5477
Tl 0.7348 0.4522 0.3658
H 0.6141 0.8299 0.4523
Tl 0.0000 0.0000 0.0000
Sb 0.6716 0.6063 0.9289

Values from the calculation:
The final energy comes out at -2.9983 eV/atom. Its space group is No. 2.

=====

A plane-wave DFT calculation with PBE was carried out for a relaxed Nd6TmMg crystal.

abc: 5.0748 5.0748 10.2303
angles: 90.00 90.00 90.00
Fractional coordinates of all 8 atoms:
Nd 0.5000 0.0000 0.7520
Nd 0.5000 0.0000 0.2480
Nd 0.0000 0.5000 0.7520
Mg 0.0000 0.0000 0.0000
Tm 0.0000 0.0000 0.5000
Nd 0.5000 0.5000 0.5000
Nd 0.0000 0.5000 0.2480
Nd 0.5000 0.5000 0.0000

Values from the calculation:
The final energy comes out at -4.3337 eV/atom. Its space group is No. 123. As for the formation energy: 0 kJ/mol of formula units. The energy above the most stable polymorph in this dataset is 0.000 eV per atom.